Computed, not measured: MoRu2Br after structural relaxation at the PBE level of DFT.

Values from the calculation:
* energy relative to the elements, uncorrected: 0.91 eV/atom
* E_tot: -6.86 eV per atom
* spin magnetization: 0.73 Bohr magnetons per cell
* polymorph energy (0 for the lowest one): 414.2 meV/atom
* N(E_F): 5.77 states/eV/cell

CIF file:
```
data_MoRu2Br
_chemical_formula_sum 'Mo1 Ru2 Br1'
_cell_length_a 4.643
_cell_length_b 4.643
_cell_length_c 2.925
_cell_angle_alpha 90.00
_cell_angle_beta 90.00
_cell_angle_gamma 90.00
_symmetry_space_group_name_H-M 'P 4/m m m'
_symmetry_Int_Tables_number 123
_symmetry_space_group_name_Hall '-P 4 2'
loop_
_atom_site_label
_atom_site_type_symbol
_atom_site_fract_x
_atom_site_fract_y
_atom_site_fract_z
Mo1 Mo 0.000 0.000 0.000
Ru1 Ru 0.000 0.500 0.500
Br1 Br 0.500 0.500 0.000
```